{"formula": "BaTiCu2Ru", "functional": "GGA-PBE", "state": "optimized geometry", "formation_enthalpy_0k_ev_per_atom": 0.30, "sg": "P4/mmm (123)", "lattice": [[-4.1686, -2.7182, -0.8899], [2.3791, -2.8208, -2.5283], [0.9751, -2.8295, 4.0745]], "species": ["Ru", "Ba", "Cu", "Cu", "Ti"], "frac_coords": [[0.0000, 0.0000, 0.0000], [0.5000, 0.5000, 0.5000], [0.0000, 0.0000, 0.5000], [0.5000, 0.0000, 0.0000], [0.0000, 0.5000, 0.0000]]}